Record 1
VASP calculation (PBE-GGA) on a relaxed structure of Ti3Zn2Co.

Calculated values
calculated formation energy = -5.50 kcal/mol of atoms
crystal system = tetragonal
space group = P4/mmm

```
data_Ti3Zn2Co
_symmetry_space_group_name_H-M 'P 1'
_symmetry_Int_Tables_number 1
_cell_length_a 3.050
_cell_length_b 3.050
_cell_length_c 9.489
_cell_angle_alpha 90.00
_cell_angle_beta 90.00
_cell_angle_gamma 90.00
loop_
_symmetry_equiv_pos_as_xyz
'x,y,z'
loop_
_atom_site_label
_atom_site_fract_x
_atom_site_fract_y
_atom_site_fract_z
Ti1 0.000 0.000 0.000
Ti2 0.000 0.000 0.650
Ti3 0.000 0.000 0.350
Co1 0.500 0.500 0.500
Zn1 0.500 0.500 0.174
Zn2 0.500 0.500 0.826
```

Record 2
VASP calculation (PBE-GGA) on a relaxed structure of AcErS4.

Calculated values
crystal system = monoclinic
space group = C2/c
total energy = -69.1 eV for the cell shown

```
data_AcErS4
_symmetry_space_group_name_H-M 'P 1'
_symmetry_Int_Tables_number 1
_cell_length_a 7.121
_cell_length_b 7.791
_cell_length_c 7.369
_cell_angle_alpha 117.79
_cell_angle_beta 114.51
_cell_angle_gamma 97.43
loop_
_symmetry_equiv_pos_as_xyz
'x,y,z'
loop_
_atom_site_label
_atom_site_fract_x
_atom_site_fract_y
_atom_site_fract_z
S1 0.606 0.331 0.134
S2 0.971 0.197 0.866
S3 0.394 0.669 0.866
S4 0.029 0.803 0.134
S5 0.345 0.982 0.651
S6 0.806 0.669 0.651
S7 0.194 0.331 0.349
S8 0.655 0.018 0.349
Ac1 0.379 0.629 0.257
Ac2 0.621 0.371 0.743
Er1 0.764 0.014 0.028
Er2 0.236 0.986 0.972
```

Record 3
VASP calculation (PBE-GGA) on a relaxed structure of SrFeAs2.

Calculated values
calculated formation energy = 6.54 kcal/mol of atoms
crystal system = cubic
space group = F-43m

```
data_SrFeAs2
_symmetry_space_group_name_H-M 'P 1'
_symmetry_Int_Tables_number 1
_cell_length_a 4.939
_cell_length_b 4.939
_cell_length_c 4.939
_cell_angle_alpha 60.00
_cell_angle_beta 60.00
_cell_angle_gamma 60.00
loop_
_symmetry_equiv_pos_as_xyz
'x,y,z'
loop_
_atom_site_label
_atom_site_fract_x
_atom_site_fract_y
_atom_site_fract_z
Sr1 0.750 0.750 0.750
As1 0.000 0.000 0.000
As2 0.250 0.250 0.250
Fe1 0.500 0.500 0.500
```

Record 4
VASP calculation (PBE-GGA) on a relaxed structure of HoSc2Co.

Calculated values
calculated formation energy = 3.34 kcal/mol of atoms
crystal system = trigonal
space group = R-3m

```
data_HoSc2Co
_symmetry_space_group_name_H-M 'P 1'
_symmetry_Int_Tables_number 1
_cell_length_a 3.329
_cell_length_b 3.329
_cell_length_c 10.058
_cell_angle_alpha 80.48
_cell_angle_beta 80.48
_cell_angle_gamma 60.00
loop_
_symmetry_equiv_pos_as_xyz
'x,y,z'
loop_
_atom_site_label
_atom_site_fract_x
_atom_site_fract_y
_atom_site_fract_z
Sc1 0.888 0.888 0.336
Sc2 0.112 0.112 0.664
Co1 0.500 0.500 0.500
Ho1 0.000 0.000 0.000
```

Record 5
VASP calculation (PBE-GGA) on a relaxed structure of NaMgSi.

Calculated values
crystal system = tetragonal
space group = I4mm
total energy = -7.9 eV for the cell shown

```
data_NaMgSi
_symmetry_space_group_name_H-M 'P 1'
_symmetry_Int_Tables_number 1
_cell_length_a 3.137
_cell_length_b 3.137
_cell_length_c 7.129
_cell_angle_alpha 102.71
_cell_angle_beta 102.71
_cell_angle_gamma 90.00
loop_
_symmetry_equiv_pos_as_xyz
'x,y,z'
loop_
_atom_site_label
_atom_site_fract_x
_atom_site_fract_y
_atom_site_fract_z
Si1 0.296 0.296 0.591
Mg1 0.920 0.920 0.840
Na1 0.634 0.634 0.268
```

Record 6
VASP calculation (PBE-GGA) on a relaxed structure of KLa2Al.

Calculated values
calculated formation energy = 5.54 kcal/mol of atoms
crystal system = monoclinic
space group = Cm

```
data_KLa2Al
_symmetry_space_group_name_H-M 'P 1'
_symmetry_Int_Tables_number 1
_cell_length_a 5.787
_cell_length_b 5.787
_cell_length_c 7.838
_cell_angle_alpha 82.90
_cell_angle_beta 82.90
_cell_angle_gamma 35.66
loop_
_symmetry_equiv_pos_as_xyz
'x,y,z'
loop_
_atom_site_label
_atom_site_fract_x
_atom_site_fract_y
_atom_site_fract_z
La1 0.010 0.010 0.910
La2 0.761 0.761 0.736
Al1 0.494 0.494 0.572
K1 0.234 0.234 0.281
```

Number 1: total magnetic moment 0.2 μB/f.u.. Number 2: total magnetic moment 0.0 μB/f.u.. Number 3: total magnetic moment 2.8 μB/f.u.. Number 4: total magnetic moment 0.0 μB/f.u.. Number 5: total magnetic moment 0.0 μB/f.u.. Number 6: total magnetic moment 0.0 μB/f.u..